1.
Ac8Pd3I4N | GGA-PBE | relaxed

energy relative to the elements, uncorrected: -0.94 eV per atom
mass density: 7.8 g cm⁻³
total energy: -0.3587 Ry/atom
V: 35.5 A^3/atom
DOS(E_F): 0.704 states/eV per atom
total magnetic moment: 0.009 μB/f.u.

Unit cell a=8.824 b=9.840 c=8.677 alpha=114.64 beta=120.56 gamma=90.00
Positions (direct):
Ac 0.809 0.330 0.619
Ac 0.778 0.307 0.039
Ac 0.273 0.313 0.545
Ac 0.222 0.693 0.961
I 0.000 0.000 0.000
Ac 0.738 0.693 0.961
I 0.500 0.000 0.000
N 0.000 0.500 0.000
I 0.500 0.000 0.500
Ac 0.262 0.307 0.039
I 0.000 0.000 0.500
Pd 0.500 0.500 0.000
Ac 0.191 0.670 0.381
Ac 0.727 0.687 0.455
Pd 0.500 0.500 0.500
Pd 0.000 0.500 0.500

***

2.
Ac2PrI2N2 | GGA-PBE | relaxed

energy relative to the elements, uncorrected: -1.08 eV per atom
mass density: 6.6 g cm⁻³
total energy: -0.4232 Ry/atom
V: 31.3 A^3/atom
DOS(E_F): 0.285 states/eV per atom
total magnetic moment: 0.977 μB/f.u.

Unit cell a=4.777 b=4.777 c=10.190 alpha=103.56 beta=103.56 gamma=90.00
Last column: magnetic moment on the atom in μB.
Positions (direct):
N 0.000 0.500 0.000  -0.01
I 0.171 0.171 0.343  0.00
Pr 0.000 0.000 0.000  0.02
Ac 0.584 0.584 0.167  0.22
I 0.829 0.829 0.657  0.00
N 0.500 0.000 0.000  -0.01
Ac 0.416 0.416 0.833  0.22

***

3.
AcPrI2N | GGA-PBE | relaxed

energy relative to the elements, uncorrected: -1.14 eV per atom
mass density: 6.7 g cm⁻³
total energy: -0.3825 Ry/atom
V: 31.3 A^3/atom
DOS(E_F): 0.607 states/eV per atom
total magnetic moment: 0.386 μB/f.u.

Unit cell a=4.416 b=4.416 c=16.060 alpha=90.00 beta=90.00 gamma=90.00
Last column: magnetic moment on the atom in μB.
Positions (direct):
I 0.000 0.500 0.718  0.00
N 0.500 0.500 0.500  0.25
Ac 0.000 0.500 0.427  0.03
I 0.500 0.000 0.282  0.00
Ac 0.500 0.000 0.573  0.03
I 0.500 0.000 0.871  0.00
Pr 0.000 0.500 0.921  0.00
I 0.000 0.500 0.129  0.00
N 0.000 0.000 0.500  0.25
Pr 0.500 0.000 0.079  0.00

***

4.
Ac4PtI2N | GGA-PBE | relaxed

energy relative to the elements, uncorrected: -1.07 eV per atom
mass density: 8.6 g cm⁻³
total energy: -0.3898 Ry/atom
V: 33.0 A^3/atom
DOS(E_F): 0.749 states/eV per atom
total magnetic moment: 0.093 μB/f.u.

Unit cell a=4.174 b=7.458 c=8.881 alpha=107.13 beta=90.00 gamma=90.00
Positions (direct):
N 0.000 0.000 0.000
Pt 0.500 0.500 0.000
I 0.000 0.500 0.500
Ac 0.500 0.202 0.181
I 0.500 0.000 0.500
Ac 0.500 0.798 0.819
Ac 0.000 0.246 0.818
Ac 0.000 0.754 0.182

***

5.
Ac8Pt3I4N | GGA-PBE | relaxed

energy relative to the elements, uncorrected: -1.13 eV per atom
mass density: 8.5 g cm⁻³
total energy: -0.3838 Ry/atom
V: 35.5 A^3/atom
DOS(E_F): 0.570 states/eV per atom
total magnetic moment: 0.432 μB/f.u.

Unit cell a=8.659 b=10.047 c=8.769 alpha=116.65 beta=119.59 gamma=90.00
Positions (direct):
I 0.000 0.000 0.000
Ac 0.210 0.677 0.969
Ac 0.271 0.314 0.542
Ac 0.729 0.686 0.458
Ac 0.759 0.677 0.969
I 0.500 0.000 0.000
Ac 0.768 0.307 0.537
N 0.000 0.500 0.000
Pt 0.000 0.500 0.500
Pt 0.500 0.500 0.000
I 0.500 0.000 0.500
Ac 0.241 0.323 0.031
Ac 0.790 0.323 0.031
Pt 0.500 0.500 0.500
I 0.000 0.000 0.500
Ac 0.232 0.693 0.463

***

6.
Ac6Pt2I3N | GGA-PBE | relaxed

energy relative to the elements, uncorrected: -1.11 eV per atom
mass density: 8.7 g cm⁻³
total energy: -0.3859 Ry/atom
V: 34.2 A^3/atom
DOS(E_F): 0.680 states/eV per atom
total magnetic moment: 1.115 μB/f.u.

Unit cell a=7.403 b=7.403 c=8.987 alpha=97.87 beta=97.87 gamma=120.03
Last column: magnetic moment on the atom in μB.
Positions (direct):
N 0.000 0.000 0.000  -0.02
Ac 0.243 0.243 0.814  0.06
I 0.173 0.827 0.500  0.00
Ac 0.938 0.633 0.815  0.06
Ac 0.633 0.938 0.815  0.06
Ac 0.062 0.367 0.185  0.06
Pt 0.334 0.666 0.000  0.03
Pt 0.666 0.334 0.000  0.03
I 0.500 0.500 0.500  0.00
Ac 0.367 0.062 0.185  0.06
Ac 0.757 0.757 0.186  0.06
I 0.827 0.173 0.500  0.00

***

7.
AcPuIN2 | GGA-PBE | relaxed

energy relative to the elements, uncorrected: -1.33 eV per atom
mass density: 8.1 g cm⁻³
total energy: -0.6360 Ry/atom
V: 25.7 A^3/atom
DOS(E_F): 1.170 states/eV per atom
total magnetic moment: 4.000 μB/f.u.

Unit cell a=4.249 b=7.756 c=8.143 alpha=106.86 beta=90.00 gamma=90.00
Last column: magnetic moment on the atom in μB.
Positions (direct):
I 0.250 0.038 0.741  0.01
Ac 0.250 0.668 0.923  0.01
I 0.750 0.962 0.259  0.01
N 0.750 0.502 0.856  0.12
Pu 0.750 0.370 0.586  -4.29
Ac 0.750 0.332 0.077  0.01
N 0.250 0.498 0.144  0.12
N 0.250 0.471 0.596  0.24
N 0.750 0.529 0.404  0.24
Pu 0.250 0.630 0.414  -4.29

***

8.
RbAcIN | GGA-PBE | relaxed

energy relative to the elements, uncorrected: -0.93 eV per atom
mass density: 5.9 g cm⁻³
total energy: -0.3432 Ry/atom
V: 31.8 A^3/atom
total magnetic moment: 0.000 μB/f.u.

Unit cell a=4.064 b=4.064 c=9.208 alpha=77.25 beta=77.25 gamma=60.00
Positions (direct):
N 0.347 0.347 0.958
Rb 0.775 0.775 0.675
Ac 0.647 0.647 0.060
I 0.210 0.210 0.371

***

9.
Ac4RhI2N | GGA-PBE | relaxed

energy relative to the elements, uncorrected: -0.98 eV per atom
mass density: 8.2 g cm⁻³
total energy: -0.3953 Ry/atom
V: 32.5 A^3/atom
DOS(E_F): 0.806 states/eV per atom
total magnetic moment: 0.001 μB/f.u.

Unit cell a=4.149 b=7.346 c=8.904 alpha=106.56 beta=90.00 gamma=90.00
Positions (direct):
I 0.000 0.500 0.500
N 0.000 0.000 0.000
I 0.500 0.000 0.500
Rh 0.500 0.500 0.000
Ac 0.500 0.793 0.821
Ac 0.500 0.207 0.179
Ac 0.000 0.750 0.178
Ac 0.000 0.250 0.822

***

10.
Ac3RhIN | GGA-PBE | relaxed

energy relative to the elements, uncorrected: -1.02 eV per atom
mass density: 7.0 g cm⁻³
total energy: -0.4370 Ry/atom
V: 36.4 A^3/atom
DOS(E_F): 0.271 states/eV per atom
total magnetic moment: 0.000 μB/f.u.

Unit cell a=4.322 b=10.402 c=10.189 alpha=107.72 beta=90.00 gamma=90.00
Positions (direct):
Rh 0.250 0.649 0.145
Ac 0.750 0.850 0.152
Ac 0.250 0.150 0.848
Ac 0.250 0.841 0.470
Ac 0.750 0.460 0.152
Rh 0.750 0.351 0.855
I 0.250 0.169 0.229
Ac 0.750 0.159 0.530
Ac 0.250 0.540 0.848
N 0.250 0.080 0.607
I 0.750 0.831 0.771
N 0.750 0.920 0.393

***

11.
Ac8Rh3I3N | GGA-PBE | relaxed

energy relative to the elements, uncorrected: -0.86 eV per atom
mass density: 7.5 g cm⁻³
total energy: -0.3960 Ry/atom
V: 37.0 A^3/atom
DOS(E_F): 0.613 states/eV per atom
total magnetic moment: 0.719 μB/f.u.

Unit cell a=8.560 b=8.572 c=10.036 alpha=115.31 beta=90.01 gamma=119.94
Positions (direct):
Ac 0.728 0.457 0.685
Ac 0.784 0.567 0.323
Ac 0.785 0.039 0.324
N 0.000 0.000 0.500
Rh 0.500 0.500 0.500
I 0.500 0.500 0.000
Ac 0.254 0.039 0.324
Ac 0.216 0.433 0.677
I 0.000 0.000 0.000
Ac 0.215 0.961 0.676
Ac 0.272 0.543 0.315
I 0.000 0.500 0.000
Rh 0.000 0.500 0.500
Ac 0.746 0.961 0.676
Rh 0.500 0.000 0.500

***

12.
Ac6Rh2I2N | GGA-PBE | relaxed

energy relative to the elements, uncorrected: -0.85 eV per atom
mass density: 7.6 g cm⁻³
total energy: -0.4015 Ry/atom
V: 36.3 A^3/atom
DOS(E_F): 0.388 states/eV per atom
total magnetic moment: 0.753 μB/f.u.

Unit cell a=7.328 b=7.328 c=8.966 alpha=98.65 beta=98.65 gamma=119.65
Positions (direct):
N 0.000 0.000 0.500
Rh 0.331 0.669 0.500
Ac 0.623 0.934 0.318
I 0.173 0.827 0.000
I 0.827 0.173 0.000
Ac 0.934 0.623 0.318
Ac 0.251 0.251 0.321
Ac 0.066 0.377 0.682
Rh 0.669 0.331 0.500
Ac 0.377 0.066 0.682
Ac 0.749 0.749 0.679

***

13.
Ac8Ru3I4N | GGA-PBE | relaxed

energy relative to the elements, uncorrected: -0.80 eV per atom
mass density: 8.0 g cm⁻³
total energy: -0.4045 Ry/atom
V: 34.1 A^3/atom
DOS(E_F): 0.453 states/eV per atom
total magnetic moment: 0.000 μB/f.u.

Unit cell a=8.544 b=9.933 c=8.531 alpha=115.32 beta=120.05 gamma=90.00
Positions (direct):
Ac 0.782 0.325 0.044
Ac 0.217 0.675 0.434
N 0.000 0.500 0.000
I 0.500 0.000 0.000
Ac 0.738 0.675 0.956
I 0.000 0.000 0.000
Ac 0.731 0.692 0.462
Ac 0.218 0.675 0.956
Ac 0.269 0.308 0.538
Ac 0.262 0.325 0.044
Ru 0.500 0.500 0.000
Ac 0.783 0.325 0.566
Ru 0.500 0.500 0.500
I 0.000 0.000 0.500
Ru 0.000 0.500 0.500
I 0.500 0.000 0.500

***

14.
Ac4RuI2N | GGA-PBE | relaxed

energy relative to the elements, uncorrected: -0.86 eV per atom
mass density: 8.2 g cm⁻³
total energy: -0.4047 Ry/atom
V: 32.4 A^3/atom
DOS(E_F): 0.681 states/eV per atom
total magnetic moment: 0.000 μB/f.u.

Unit cell a=4.220 b=7.192 c=8.861 alpha=105.61 beta=90.00 gamma=90.00
Positions (direct):
I 0.000 0.500 0.500
Ac 0.500 0.220 0.178
Ru 0.500 0.500 0.000
Ac 0.500 0.780 0.822
Ac 0.000 0.757 0.177
Ac 0.000 0.243 0.823
I 0.500 0.000 0.500
N 0.000 0.000 0.000

***

15.
Ac8Ru3I3N | GGA-PBE | relaxed

energy relative to the elements, uncorrected: -0.65 eV per atom
mass density: 7.6 g cm⁻³
total energy: -0.4088 Ry/atom
V: 36.8 A^3/atom
DOS(E_F): 0.556 states/eV per atom
total magnetic moment: 0.509 μB/f.u.

Unit cell a=8.502 b=8.501 c=10.100 alpha=114.99 beta=90.00 gamma=120.00
Positions (direct):
Ac 0.730 0.460 0.689
Ac 0.784 0.044 0.329
Ac 0.260 0.044 0.329
Ru 0.000 0.500 0.500
I 0.000 0.500 0.000
Ac 0.785 0.569 0.330
I 0.000 0.000 0.000
Ac 0.216 0.956 0.671
Ac 0.215 0.431 0.670
Ac 0.270 0.540 0.311
N 0.000 0.000 0.500
Ac 0.740 0.956 0.671
I 0.500 0.500 0.000
Ru 0.500 0.000 0.500
Ru 0.500 0.500 0.500

***

16.
Ac2SIN | GGA-PBE | relaxed

energy relative to the elements, uncorrected: -1.62 eV per atom
mass density: 6.5 g cm⁻³
total energy: -0.4456 Ry/atom
V: 32.2 A^3/atom
total magnetic moment: 0.000 μB/f.u.

Unit cell a=4.353 b=8.424 c=9.445 alpha=78.43 beta=76.68 gamma=75.03
Positions (direct):
I 0.818 0.746 0.618
S 0.361 0.403 0.875
I 0.182 0.254 0.382
Ac 0.579 0.149 0.694
S 0.639 0.597 0.125
Ac 0.863 0.230 0.043
Ac 0.421 0.851 0.306
Ac 0.137 0.770 0.957
N 0.946 0.931 0.176
N 0.054 0.069 0.824

***

17.
Ac4Sb2IN2 | GGA-PBE | relaxed

energy relative to the elements, uncorrected: -1.14 eV per atom
mass density: 6.6 g cm⁻³
total energy: -0.4341 Ry/atom
V: 36.4 A^3/atom
DOS(E_F): 0.341 states/eV per atom
total magnetic moment: 0.000 μB/f.u.

Unit cell a=4.435 b=9.711 c=9.523 alpha=123.66 beta=103.47 gamma=90.00
Positions (direct):
N 0.678 0.977 0.356
N 0.322 0.023 0.644
I 0.000 0.000 0.000
Ac 0.235 0.138 0.471
Ac 0.527 0.749 0.054
Sb 0.903 0.434 0.806
Ac 0.473 0.251 0.946
Ac 0.765 0.862 0.529
Sb 0.097 0.566 0.194

***

18.
Ac8Si3I4N | GGA-PBE | relaxed

energy relative to the elements, uncorrected: -0.94 eV per atom
mass density: 7.2 g cm⁻³
total energy: -0.3613 Ry/atom
V: 35.1 A^3/atom
DOS(E_F): 0.374 states/eV per atom
total magnetic moment: 0.000 μB/f.u.

Unit cell a=8.826 b=9.769 c=8.826 alpha=116.87 beta=120.00 gamma=90.00
Positions (direct):
Si 0.000 0.500 0.500
I 0.500 0.000 0.500
I 0.000 0.000 0.500
I 0.000 0.000 0.000
Ac 0.756 0.687 0.972
Si 0.500 0.500 0.500
Ac 0.784 0.313 0.569
Ac 0.215 0.687 0.972
Ac 0.785 0.313 0.028
Si 0.500 0.500 0.000
Ac 0.216 0.687 0.431
Ac 0.267 0.300 0.533
I 0.500 0.000 0.000
Ac 0.733 0.700 0.467
N 0.000 0.500 0.000
Ac 0.244 0.313 0.028

***

19.
Ac6Si2I3N | GGA-PBE | relaxed

energy relative to the elements, uncorrected: -0.96 eV per atom
mass density: 7.3 g cm⁻³
total energy: -0.3671 Ry/atom
V: 34.2 A^3/atom
DOS(E_F): 0.386 states/eV per atom
total magnetic moment: 0.000 μB/f.u.

Unit cell a=7.544 b=7.544 c=8.691 alpha=98.33 beta=98.33 gamma=119.92
Positions (direct):
N 0.000 0.000 0.000
Ac 0.243 0.243 0.810
Ac 0.062 0.369 0.187
Si 0.334 0.666 0.000
I 0.500 0.500 0.500
I 0.175 0.825 0.500
Ac 0.938 0.631 0.813
Ac 0.369 0.062 0.187
Ac 0.757 0.757 0.190
Ac 0.631 0.938 0.813
Si 0.666 0.334 0.000
I 0.825 0.175 0.500

***

20.
Ac4SiI2N | GGA-PBE | relaxed

energy relative to the elements, uncorrected: -0.97 eV per atom
mass density: 7.6 g cm⁻³
total energy: -0.3771 Ry/atom
V: 32.9 A^3/atom
DOS(E_F): 0.392 states/eV per atom
total magnetic moment: 0.000 μB/f.u.

Unit cell a=4.270 b=7.408 c=8.691 alpha=106.74 beta=90.00 gamma=90.00
Positions (direct):
Ac 0.000 0.294 0.819
Si 0.000 0.000 0.000
Ac 0.500 0.736 0.814
I 0.500 0.000 0.500
I 0.000 0.500 0.500
N 0.500 0.500 0.000
Ac 0.500 0.264 0.186
Ac 0.000 0.706 0.181

***

21.
Ac2TbI2N2 | GGA-PBE | relaxed

energy relative to the elements, uncorrected: -1.25 eV per atom
mass density: 7.2 g cm⁻³
total energy: -0.4344 Ry/atom
V: 29.6 A^3/atom
DOS(E_F): 0.281 states/eV per atom
total magnetic moment: 0.980 μB/f.u.

Unit cell a=4.626 b=4.626 c=10.214 alpha=103.09 beta=103.09 gamma=90.00
Last column: magnetic moment on the atom in μB.
Positions (direct):
Tb 0.000 0.000 0.000  0.03
N 0.500 0.000 0.000  -0.01
I 0.168 0.168 0.337  0.01
Ac 0.583 0.583 0.166  0.21
Ac 0.417 0.417 0.834  0.21
N 0.000 0.500 0.000  -0.01
I 0.832 0.832 0.663  0.01